! Co2AsRu | Alexandria via LeMat-Bulk | PBE-GGA | optimized geometry; values from VASP
&SYSTEM
  ibrav = 0, nat = 4, ntyp = 3
/
ATOMIC_SPECIES
As 74.92 As.upf
Co 58.93 Co.upf
Ru 101.07 Ru.upf
CELL_PARAMETERS angstrom
3.702 0.000 0.000
0.000 3.643 0.000
0.000 0.000 3.643
ATOMIC_POSITIONS angstrom
As 1.851 0.000 1.822
Co 0.000 1.822 1.822
Co 0.000 0.000 0.000
Ru 1.851 1.822 0.000
! total magnetization	0.5	μB per formula unit
! E	-6.942	eV/atom

---

! CoAsRu2 | Alexandria via LeMat-Bulk | PBE-GGA | optimized geometry; values from VASP
&SYSTEM
  ibrav = 0, nat = 4, ntyp = 3
/
ATOMIC_SPECIES
Co 58.93 Co.upf
As 74.92 As.upf
Ru 101.07 Ru.upf
CELL_PARAMETERS angstrom
8.249 -0.001 0.000
7.778 2.748 0.000
7.778 1.333 2.403
ATOMIC_POSITIONS angstrom
Co 17.953 3.077 1.811
As 11.823 2.026 1.193
Ru 0.037 0.006 0.004
Ru 5.894 1.010 0.595
! total magnetization	1.2	μB per formula unit
! E	-7.377	eV/atom

---

! Co2AsRu | Alexandria via LeMat-Bulk | PBE-GGA | optimized geometry; values from VASP
&SYSTEM
  ibrav = 0, nat = 4, ntyp = 3
/
ATOMIC_SPECIES
Co 58.93 Co.upf
Ru 101.07 Ru.upf
As 74.92 As.upf
CELL_PARAMETERS angstrom
2.796 0.000 0.000
0.000 2.796 0.000
0.000 0.000 6.452
ATOMIC_POSITIONS angstrom
Co 0.000 0.000 3.338
Ru 1.398 1.398 1.613
Co 0.000 0.000 6.341
As 1.398 1.398 4.839
! total magnetization	2.5	μB per formula unit
! E	-6.858	eV/atom

---

! Co2AsRu | Alexandria via LeMat-Bulk | PBE-GGA | optimized geometry; values from VASP
&SYSTEM
  ibrav = 0, nat = 8, ntyp = 3
/
ATOMIC_SPECIES
Co 58.93 Co.upf
As 74.92 As.upf
Ru 101.07 Ru.upf
CELL_PARAMETERS angstrom
-2.771 -2.176 0.638
2.205 -2.821 -0.048
1.001 -1.639 8.802
ATOMIC_POSITIONS angstrom
Co 0.203 -5.534 7.119
As -0.283 -2.499 0.295
Co -1.139 -2.070 2.578
As 1.462 -3.479 4.525
Co 0.592 -3.170 6.822
Ru 0.000 0.000 0.000
Co 1.216 -2.497 2.266
Ru -1.026 -3.157 4.868
! total magnetization	3.6	μB per formula unit
! E	-6.627	eV/atom

---

! CoAsRu | Alexandria via LeMat-Bulk | PBE-GGA | optimized geometry; values from VASP
&SYSTEM
  ibrav = 0, nat = 3, ntyp = 3
/
ATOMIC_SPECIES
Ru 101.07 Ru.upf
As 74.92 As.upf
Co 58.93 Co.upf
CELL_PARAMETERS angstrom
4.009 0.000 0.000
-2.005 3.472 0.000
0.000 0.000 2.874
ATOMIC_POSITIONS angstrom
Ru 2.005 1.157 2.061
As 0.000 0.000 0.182
Co 0.000 2.315 0.631
! total magnetization	1.1	μB per formula unit
! E	-6.952	eV/atom

---

! Co2AsRu | Alexandria via LeMat-Bulk | PBE-GGA | optimized geometry; values from VASP
&SYSTEM
  ibrav = 0, nat = 4, ntyp = 3
/
ATOMIC_SPECIES
As 74.92 As.upf
Co 58.93 Co.upf
Ru 101.07 Ru.upf
CELL_PARAMETERS angstrom
4.416 0.004 0.000
-1.574 4.126 0.000
0.000 0.000 2.738
ATOMIC_POSITIONS angstrom
As -0.787 2.063 1.369
Co 1.421 2.065 0.000
Co 0.000 0.000 0.000
Ru 2.208 0.002 1.369
! total magnetization	1.2	μB per formula unit
! E	-6.886	eV/atom

---

! Th2CoAs4Ru3 | Alexandria via LeMat-Bulk | PBE-GGA | optimized geometry; values from VASP
&SYSTEM
  ibrav = 0, nat = 10, ntyp = 4
/
ATOMIC_SPECIES
Co 58.93 Co.upf
Ru 101.07 Ru.upf
Th 232.04 Th.upf
As 74.92 As.upf
CELL_PARAMETERS angstrom
-1.203 2.259 -3.425
2.473 -2.449 -2.484
-7.550 -6.180 -1.424
ATOMIC_POSITIONS angstrom
Co -3.140 -3.185 -3.667
Ru -3.775 -3.090 -0.712
Th -4.424 -5.857 -2.309
As 0.000 0.000 0.000
As -1.558 -3.512 -1.769
As -5.357 -2.763 -2.610
Th -2.491 -0.417 -2.069
Ru 0.311 -1.982 -1.416
Ru -7.226 -4.292 -2.962
As 0.635 -0.095 -2.955
! total magnetization	0.3	μB per formula unit
! E	-7.544	eV/atom

---

! TiCoAs2Ru | Alexandria via LeMat-Bulk | PBE-GGA | optimized geometry; values from VASP
&SYSTEM
  ibrav = 0, nat = 5, ntyp = 4
/
ATOMIC_SPECIES
As 74.92 As.upf
Co 58.93 Co.upf
Ti 47.87 Ti.upf
Ru 101.07 Ru.upf
CELL_PARAMETERS angstrom
-3.033 -2.920 1.495
3.061 -3.201 -0.042
1.108 1.004 4.210
ATOMIC_POSITIONS angstrom
As -1.517 -1.460 0.748
Co 0.000 0.000 0.000
As 0.554 0.502 2.105
Ti 0.568 -2.558 2.832
Ru 1.530 -1.601 -0.021
! total magnetization	0.0	μB per formula unit
! E	-6.079	eV/atom

---

! UCoAs2Ru | Alexandria via LeMat-Bulk | PBE-GGA | optimized geometry; values from VASP
&SYSTEM
  ibrav = 0, nat = 10, ntyp = 4
/
ATOMIC_SPECIES
Co 58.93 Co.upf
As 74.92 As.upf
Ru 101.07 Ru.upf
U 238.03 U.upf
CELL_PARAMETERS angstrom
-1.214 -2.543 -1.939
6.113 1.981 -3.407
3.826 -4.893 4.020
ATOMIC_POSITIONS angstrom
Co 0.000 0.000 0.000
As 5.524 -4.524 2.473
Ru 3.955 -0.837 -1.379
As 3.824 -2.350 0.688
As 4.901 -3.104 -2.014
U 6.430 -0.517 -3.346
As 3.201 -0.930 -3.800
U 2.295 -4.937 2.020
Co 1.913 -2.446 2.010
Ru 4.770 -4.618 0.052
! total magnetization	1.4	μB per formula unit
! E	-7.614	eV/atom

---

! UCoAs2Ru2 | Alexandria via LeMat-Bulk | PBE-GGA | optimized geometry; values from VASP
&SYSTEM
  ibrav = 0, nat = 12, ntyp = 4
/
ATOMIC_SPECIES
As 74.92 As.upf
Co 58.93 Co.upf
Ru 101.07 Ru.upf
U 238.03 U.upf
CELL_PARAMETERS angstrom
3.719 0.000 0.000
0.000 7.087 0.000
0.000 0.000 7.321
ATOMIC_POSITIONS angstrom
As 1.859 2.520 2.419
Co 1.859 4.954 2.803
Ru 0.000 5.740 6.440
Co 1.859 1.411 4.518
Ru 1.859 3.509 6.290
U 0.000 3.702 4.446
U 0.000 0.158 2.875
Ru 0.000 2.196 0.881
As 1.859 6.064 4.903
As 0.000 1.159 6.034
As 0.000 4.702 1.288
Ru 1.859 7.053 1.032
! total magnetization	0.0	μB per formula unit
! E	-7.994	eV/atom

---

! VCo2AsRu | Alexandria via LeMat-Bulk | PBE-GGA | optimized geometry; values from VASP
&SYSTEM
  ibrav = 0, nat = 5, ntyp = 4
/
ATOMIC_SPECIES
Co 58.93 Co.upf
V 50.94 V.upf
As 74.92 As.upf
Ru 101.07 Ru.upf
CELL_PARAMETERS angstrom
-2.481 2.356 2.973
-0.514 -3.670 2.480
3.757 1.038 2.313
ATOMIC_POSITIONS angstrom
Co -1.241 1.178 1.486
Co 1.879 0.519 1.157
V -0.257 -1.835 1.240
As 0.381 -0.138 3.883
Ru 0.000 0.000 0.000
! total magnetization	2.3	μB per formula unit
! E	-6.225	eV/atom

---

! CoAsS2 | Alexandria via LeMat-Bulk | PBE-GGA | optimized geometry; values from VASP
&SYSTEM
  ibrav = 0, nat = 4, ntyp = 3
/
ATOMIC_SPECIES
S 32.06 S.upf
Co 58.93 Co.upf
As 74.92 As.upf
CELL_PARAMETERS angstrom
-5.225 4.445 -2.883
-6.353 3.840 0.511
-3.839 6.373 -0.140
ATOMIC_POSITIONS angstrom
S -1.522 1.447 -0.248
S -13.894 13.210 -2.264
Co 0.000 0.000 0.000
As -7.708 7.329 -1.256
! formation energy without anion corrections	0.272	eV/atom
! total magnetization	2.0	μB per formula unit
! E	-4.730	eV/atom